## KCa2Tc (PBE)

Data for a relaxed structure of KCa2Tc.

## Properties
Formation energy from the elements ... 1019 meV/atom
Symmetry ... No. 141

Cell: 8.0211 8.0211 8.0312 Å, 60.04 60.04 90.00°
Fractional coordinates of all 8 atoms:
K  0.5000  0.5000  0.0000
K  0.2500  0.7500  0.5000
Ca  0.8746  0.1250  0.2500
Ca  0.8754  0.6250  0.2500
Ca  0.3750  0.1254  0.7500
Ca  0.8750  0.1246  0.7500
Tc  0.0000  0.0000  0.0000
Tc  0.7500  0.2500  0.5000